# TaRe2Br (SCAN, PBEsol geometry)
# Total DFT energy (no corrections) in eV for the cell shown: -224.6
# Polymorph energy (0 for the lowest one) in meV per atom: 69.9
# Spin magnetization in μB/f.u.: 0.00
# Crystal system: orthorhombic
# Space-group type: Pmmm, No. 47
data_TaRe2Br
_cell_length_a 2.931
_cell_length_b 4.640
_cell_length_c 4.643
_cell_angle_alpha 90.00
_cell_angle_beta 90.00
_cell_angle_gamma 90.00
_space_group_name_H-M_alt 'P 1'
_space_group_IT_number 1
_space_group_name_Hall 'P 1'
loop_
_atom_site_label
_atom_site_type_symbol
_atom_site_fract_x
_atom_site_fract_y
_atom_site_fract_z
_atom_site_occupancy
Ta1 Ta 0.000 0.000 0.000 1
Re1 Re 0.000 0.500 0.500 1
Re2 Re 0.500 0.000 0.500 1
Br1 Br 0.500 0.500 0.000 1